! MnFeNiPd (PBE-GGA, relaxed); values from VASP
&SYSTEM
  ibrav = 0, nat = 4, ntyp = 4
/
ATOMIC_SPECIES
Ni 58.69 Ni.upf
Mn 54.94 Mn.upf
Fe 55.84 Fe.upf
Pd 106.42 Pd.upf
CELL_PARAMETERS angstrom
4.245 0.000 0.000
2.123 3.676 0.000
2.123 1.225 3.466
ATOMIC_POSITIONS crystal
Ni 0.000 0.000 0.000
Mn 0.250 0.250 0.250
Fe 0.750 0.750 0.750
Pd 0.500 0.500 0.500
! Space group = No. 216
! DFT formation energy = 0.05 eV/atom

***

! NdAsPd3 (PBE-GGA, relaxed); values from VASP
&SYSTEM
  ibrav = 0, nat = 10, ntyp = 3
/
ATOMIC_SPECIES
Nd 144.24 Nd.upf
As 74.92 As.upf
Pd 106.42 Pd.upf
CELL_PARAMETERS angstrom
5.949 -0.464 -3.061
-3.626 5.614 -0.562
-0.300 0.464 6.684
ATOMIC_POSITIONS crystal
Nd 0.000 0.750 0.750
Nd 0.000 0.250 0.250
As 0.500 0.500 0.000
As 0.500 0.000 0.500
Pd 0.000 0.750 0.250
Pd 0.500 0.750 0.250
Pd 0.500 0.750 0.750
Pd 0.500 0.250 0.750
Pd 0.500 0.250 0.250
Pd 0.000 0.250 0.750
! Excess energy over the best structure of this formula in the dataset = 0.0 meV/atom
! Space group = No. 221
! DFT formation energy = -0.54 eV/atom

***

! BiSbPb6 (PBE-GGA, relaxed); values from VASP
&SYSTEM
  ibrav = 0, nat = 8, ntyp = 3
/
ATOMIC_SPECIES
Bi 208.98 Bi.upf
Sb 121.76 Sb.upf
Pb 207.20 Pb.upf
CELL_PARAMETERS angstrom
7.866 0.026 0.045
3.939 6.799 0.040
3.932 2.269 5.002
ATOMIC_POSITIONS crystal
Bi 0.500 0.500 0.500
Sb 0.000 0.000 0.000
Pb 0.998 0.489 0.758
Pb 0.756 0.999 0.760
Pb 0.511 0.245 0.245
Pb 0.244 0.001 0.240
Pb 0.002 0.511 0.242
Pb 0.489 0.755 0.755
! E_form (uncorrected) = 8.4 kJ per mole of atoms
! Excess energy over the best structure of this formula in the dataset = 64.4 meV/atom
! Space group = No. 2

***

! HgGe2Sb2 (PBE-GGA, relaxed); values from VASP
&SYSTEM
  ibrav = 0, nat = 5, ntyp = 3
/
ATOMIC_SPECIES
Sb 121.76 Sb.upf
Ge 72.64 Ge.upf
Hg 200.59 Hg.upf
CELL_PARAMETERS angstrom
5.281 0.000 0.000
0.000 5.281 0.000
2.640 2.640 4.727
ATOMIC_POSITIONS crystal
Sb 0.750 0.250 0.500
Sb 0.250 0.750 0.500
Ge 0.364 0.364 0.271
Ge 0.636 0.636 0.729
Hg 0.000 0.000 0.000
! E_form (uncorrected) = 17.6 kJ per mole of atoms
! Excess energy over the best structure of this formula in the dataset = 12.4 meV/atom
! Space group = No. 139

***

! SbPdS3 (PBE-GGA, relaxed); values from VASP
&SYSTEM
  ibrav = 0, nat = 5, ntyp = 3
/
ATOMIC_SPECIES
Sb 121.76 Sb.upf
Pd 106.42 Pd.upf
S 32.06 S.upf
CELL_PARAMETERS angstrom
3.638 0.000 0.000
0.000 7.014 0.041
0.000 -3.350 6.163
ATOMIC_POSITIONS crystal
Sb 0.500 0.066 0.934
Pd 0.000 0.462 0.538
S 0.500 0.653 0.760
S 0.000 0.207 0.793
S 0.500 0.240 0.347
! E_form (uncorrected) = -6.5 kJ per mole of atoms
! Excess energy over the best structure of this formula in the dataset = 0.0 meV/atom
! Space group = No. 38

***

! TiMn4Ni15 (PBE-GGA, relaxed); values from VASP
&SYSTEM
  ibrav = 0, nat = 20, ntyp = 3
/
ATOMIC_SPECIES
Ti 47.87 Ti.upf
Mn 54.94 Mn.upf
Ni 58.69 Ni.upf
CELL_PARAMETERS angstrom
-2.769 -2.086 -0.880
0.171 -1.580 3.205
-11.281 12.186 6.610
ATOMIC_POSITIONS crystal
Ti 0.000 0.000 0.000
Mn 0.000 0.000 0.202
Mn 0.000 0.000 0.400
Mn 0.000 0.000 0.600
Mn 0.000 0.000 0.798
Ni 0.500 0.500 0.000
Ni 0.500 0.500 0.200
Ni 0.500 0.500 0.400
Ni 0.500 0.500 0.600
Ni 0.500 0.500 0.800
Ni 0.500 0.000 0.101
Ni 0.500 0.000 0.301
Ni 0.500 0.000 0.500
Ni 0.500 0.000 0.699
Ni 0.500 0.000 0.899
Ni 0.000 0.500 0.101
Ni 0.000 0.500 0.301
Ni 0.000 0.500 0.500
Ni 0.000 0.500 0.699
Ni 0.000 0.500 0.899
! Space group = No. 123
! DFT formation energy = -0.18 eV/atom